10
Lattice="-3.356 -4.457 -1.757 -5.710 -0.038 1.268 -3.944 0.804 -4.244" Properties=species:S:1:pos:R:3 comment="TlCu3F6 PBE-GGA optimized geometry" e_tot_ev_per_atom=-3.482 pbc="T T T"
Cu -3.253 -0.923 -1.183
Cu -6.505 -1.845 -2.367
Cu -9.758 -2.768 -3.550
F -6.128 -0.989 -0.643
F -7.720 -3.102 -1.476
F -5.012 -3.084 -2.077
F -7.998 -0.607 -2.656
F -6.882 -2.702 -4.090
F -5.290 -0.589 -3.257
Tl 0.000 0.000 0.000